Entry 1:
The following is a GGA-PBE calculation of a relaxed HoPuGaPt crystal, from the Alexandria database.

Properties
Formation enthalpy at 0 K: -0.642 eV/atom
Total DFT energy (no corrections): -7.636 eV/atom

a = 5.007 Å, b = 5.007 Å, c = 5.007 Å
α = 60.00°, β = 60.00°, γ = 60.00°
Each line ends with the local moment (μB).
Fractional coordinates of all 4 atoms:
Ga (0.250, 0.250, 0.250)  -0.05
Ho (0.500, 0.500, 0.500)  0.02
Pt (0.750, 0.750, 0.750)  -0.09
Pu (0.000, 0.000, 0.000)  5.17

***

Entry 2:
The following is a GGA-PBE calculation of a relaxed HoPu2Ga3Pt4 crystal, from the Alexandria database.

Properties
Formation enthalpy at 0 K: -0.789 eV/atom
Total DFT energy (no corrections): -7.437 eV/atom

a = 4.173 Å, b = 4.173 Å, c = 11.619 Å
α = 90.00°, β = 90.00°, γ = 90.00°
Each line ends with the local moment (μB).
Fractional coordinates of all 10 atoms:
Ho (0.500, 0.500, 0.500)  0.08
Pu (0.500, 0.000, 0.235)  5.30
Pu (0.000, 0.500, 0.765)  5.30
Ga (0.000, 0.000, 0.500)  0.00
Ga (0.500, 0.000, 0.874)  0.00
Ga (0.000, 0.500, 0.126)  0.00
Pt (0.500, 0.500, 0.000)  0.03
Pt (0.000, 0.000, 0.000)  0.04
Pt (0.500, 0.000, 0.659)  -0.03
Pt (0.000, 0.500, 0.341)  -0.03